[1]
Density functional theory data (GGA-PBEsol) for a geometry-optimized ScTe5 structure.

Unit cell a=3.7547 b=5.8155 c=8.4387 alpha=99.29 beta=90.00 gamma=108.83
Closest atoms and distances in Å follow each position.
Sites, in units of the cell vectors:
Sc: 0.9650 0.9300 0.9517  8 Te 2.97-3.24
Te: 0.6716 0.3431 0.3291  2 Te 2.75-2.86
Te: 0.3499 0.6998 0.6945  3 Te 2.93-3.23, 2 Sc 2.98
Te: 0.4224 0.8448 0.2137  1 Te 2.75, 2 Sc 3.00
Te: 0.0806 0.1612 0.6525  3 Te 2.93-3.23, 1 Sc 3.02
Te: 0.6773 0.3545 0.9918  1 Te 2.86, 2 Sc 2.97


[2]
Density functional theory data (GGA-PBEsol) for a geometry-optimized ScTe2 structure.

Unit cell a=3.8817 b=5.9221 c=7.6315 alpha=112.83 beta=104.73 gamma=90.00
Closest atoms and distances in Å follow each position.
Sites, in units of the cell vectors:
Sc: 0.3672 0.3672 0.7344  8 Te 2.88-3.14
Sc: 0.6328 0.6328 0.2656  8 Te 2.88-3.14
Te: 0.0000 0.7493 0.0000  2 Te 2.95-2.97, 4 Sc 3.03
Te: 0.7099 0.2099 0.4198  4 Sc 2.88-3.14
Te: 0.0000 0.2507 0.0000  2 Te 2.95-2.97, 4 Sc 3.03
Te: 0.2901 0.7901 0.5802  4 Sc 2.88-3.14


[3]
Density functional theory data (GGA-PBEsol) for a geometry-optimized Sc2Te3 structure.

Unit cell a=4.0246 b=5.7721 c=7.1221 alpha=113.91 beta=106.41 gamma=90.00
Closest atoms and distances in Å follow each position.
Sites, in units of the cell vectors:
Sc: 0.6660 0.6660 0.3320  6 Te 2.88-2.89
Sc: 0.3340 0.3340 0.6680  6 Te 2.88-2.89
Te: 0.0000 0.5000 0.0000  4 Sc 2.88
Te: 0.6671 0.1671 0.3342  4 Sc 2.88-2.89
Te: 0.3329 0.8329 0.6658  4 Sc 2.88-2.89


[4]
Density functional theory data (GGA-PBEsol) for a geometry-optimized Sc2Te3 structure.

Unit cell a=6.9989 b=7.0678 c=7.0678 alpha=119.73 beta=99.63 gamma=99.63
Closest atoms and distances in Å follow each position.
Sites, in units of the cell vectors:
Sc: 0.2500 0.0848 0.9152  6 Te 2.87-2.89
Sc: 0.7500 0.9152 0.0848  6 Te 2.87-2.89
Sc: 0.7500 0.2486 0.7514  6 Te 2.88-2.89
Sc: 0.2500 0.7514 0.2486  6 Te 2.88-2.89
Te: 0.0011 0.3346 0.1699  4 Sc 2.88-2.89
Te: 0.9989 0.6654 0.8301  4 Sc 2.88-2.89
Te: 0.4989 0.8301 0.6654  4 Sc 2.88-2.89
Te: 0.0000 0.0000 0.5000  4 Sc 2.87-2.88
Te: 0.5011 0.1699 0.3346  4 Sc 2.88-2.89
Te: 0.5000 0.5000 0.0000  4 Sc 2.87-2.88


[5]
Density functional theory data (GGA-PBEsol) for a geometry-optimized Sc2Te3 structure.

Unit cell a=4.0590 b=4.0590 c=10.2631 alpha=78.59 beta=78.59 gamma=60.00
Closest atoms and distances in Å follow each position.
Sites, in units of the cell vectors:
Sc: 0.6040 0.6040 0.1879  6 Te 2.82-3.00
Sc: 0.3960 0.3960 0.8121  6 Te 2.82-3.00
Te: 0.0000 0.0000 0.0000  6 Sc 3.00
Te: 0.2186 0.2186 0.3442  3 Sc 2.82
Te: 0.7814 0.7814 0.6558  3 Sc 2.82


[6]
Density functional theory data (GGA-PBEsol) for a geometry-optimized ScTe3 structure.

Unit cell a=3.8968 b=4.9231 c=6.7385 alpha=111.43 beta=106.81 gamma=90.00
Closest atoms and distances in Å follow each position.
Sites, in units of the cell vectors:
Sc: 0.0000 0.5000 0.0000  8 Te 2.90-3.14
Te: 0.6802 0.6802 0.3605  2 Sc 2.90
Te: 0.3198 0.3198 0.6395  2 Sc 2.90
Te: 0.5000 0.0000 0.0000  4 Sc 3.14, 4 Te 3.27


Number 1: DOS(E_F) 1.54 states/eV/f.u., DFT total energy -26.92 eV for the cell shown. Number 2: DOS(E_F) 1.43 states/eV/f.u., DFT total energy -33.46 eV for the cell shown. Number 3: DOS(E_F) 0.26 states/eV/f.u., DFT total energy -29.75 eV for the cell shown. Number 4: DOS(E_F) 0.29 states/eV/f.u., DFT total energy -59.49 eV for the cell shown. Number 5: DOS(E_F) 0.10 states/eV/f.u., DFT total energy -29.64 eV for the cell shown. Number 6: DOS(E_F) 2.71 states/eV/f.u., DFT total energy -19.22 eV for the cell shown.